# 1
LiPm4Ni2 PBE-GGA relaxed; formation energy from the elements = -0.13 eV per atom; uncorrected energy = -4.767 eV/atom; symmetry = P1; size of the total moment = 0.00 μB/cell
1.0
6.8205 0.0000 0.0000
-1.4119 6.8045 0.0000
-2.7047 -3.4008 7.5510
Li Pm Ni
2 8 4
direct
0.0000 0.0000 0.0000
0.2258 0.7245 0.4526
0.2131 0.5739 0.0807
0.3216 0.1568 0.7866
0.3584 0.2197 0.3721
0.4609 0.6680 0.7823
0.7553 0.3293 0.2019
0.7612 0.0968 0.6658
0.7805 0.8540 0.2512
0.9052 0.6124 0.6710
0.0458 0.2867 0.5251
0.3850 0.9579 0.0441
0.5673 0.6403 0.4092
0.7473 0.4880 0.9282

# 2
LiPmNi PBE-GGA relaxed; formation energy from the elements = -0.17 eV per atom; uncorrected energy = -4.314 eV/atom; symmetry = Pmma; size of the total moment = 0.00 μB/cell; relative energy among the computed polymorphs = 3.1 kJ/mol of atoms
1.0
4.3211 0.0000 0.0000
0.0000 3.6060 0.0000
0.0000 0.0000 8.4331
Li Pm Ni
2 2 2
direct
0.2500 0.0000 0.0995
0.7500 0.0000 0.9005
0.2500 0.5000 0.6790
0.7500 0.5000 0.3210
0.2500 0.0000 0.4140
0.7500 0.0000 0.5860

# 3
LiPmNi10 PBE-GGA relaxed; formation energy from the elements = -0.08 eV per atom; uncorrected energy = -5.453 eV/atom; symmetry = Pmmm; size of the total moment = 4.15 μB/cell
1.0
3.9776 0.0000 0.0000
0.0000 4.8123 0.0000
0.0000 0.0000 8.3631
Li Pm Ni
1 1 10
direct
0.0000 0.0000 0.0000
0.0000 0.5000 0.5000
0.0000 0.0000 0.3154
0.0000 0.0000 0.6846
0.0000 0.5000 0.1554
0.0000 0.5000 0.8446
0.5000 0.0000 0.5000
0.5000 0.2494 0.2456
0.5000 0.2494 0.7544
0.5000 0.5000 0.0000
0.5000 0.7506 0.2456
0.5000 0.7506 0.7544

# 4
LiPm12Ni6 PBE-GGA relaxed; formation energy from the elements = -0.21 eV per atom; uncorrected energy = -5.138 eV/atom; symmetry = Im-3; size of the total moment = 0.00 μB/cell; relative energy among the computed polymorphs = 0.0 kJ/mol of atoms
1.0
-5.0092 5.0092 5.0092
5.0092 -5.0092 5.0092
5.0092 5.0092 -5.0092
Li Pm Ni
1 12 6
direct
0.0000 0.0000 0.0000
0.1213 0.8127 0.3086
0.1873 0.3086 0.4960
0.1873 0.6914 0.8787
0.3086 0.1213 0.8127
0.3086 0.4960 0.1873
0.4960 0.1873 0.3086
0.5040 0.8127 0.6914
0.6914 0.5040 0.8127
0.6914 0.8787 0.1873
0.8127 0.3086 0.1213
0.8127 0.6914 0.5040
0.8787 0.1873 0.6914
0.1214 0.6214 0.5000
0.3786 0.5000 0.8786
0.5000 0.1214 0.6214
0.5000 0.8786 0.3786
0.6214 0.5000 0.1214
0.8786 0.3786 0.5000

# 5
Li3PmNi8 PBE-GGA relaxed; formation energy from the elements = -0.15 eV per atom; uncorrected energy = -4.882 eV/atom; symmetry = R3m; size of the total moment = 0.00 μB/cell
1.0
2.4199 1.3972 7.9148
-2.4199 1.3972 7.9148
0.0000 -2.7943 7.9148
Li Pm Ni
3 1 8
direct
0.0000 0.0000 0.0000
0.1136 0.1136 0.1136
0.6323 0.6323 0.6323
0.5014 0.5014 0.5014
0.0589 0.5628 0.5628
0.0660 0.0660 0.5690
0.0660 0.5690 0.0660
0.3143 0.3143 0.3143
0.5628 0.0589 0.5628
0.5628 0.5628 0.0589
0.5690 0.0660 0.0660
0.8130 0.8130 0.8130

# 6
LiPmNi5 PBE-GGA relaxed; formation energy from the elements = -0.18 eV per atom; uncorrected energy = -5.263 eV/atom; symmetry = Pnma; size of the total moment = 4.19 μB/cell
1.0
7.9533 0.0000 0.0000
0.0000 4.8849 0.0000
0.0000 0.0000 10.0971
Li Pm Ni
4 4 20
direct
0.1351 0.2500 0.1452
0.3649 0.7500 0.6452
0.6351 0.2500 0.3548
0.8649 0.7500 0.8548
0.2413 0.7500 0.9406
0.2587 0.2500 0.4406
0.7413 0.7500 0.5594
0.7587 0.2500 0.0594
0.0622 0.2500 0.8926
0.0716 0.5017 0.6856
0.0716 0.9983 0.6856
0.0949 0.7500 0.4819
0.1812 0.7500 0.2506
0.3188 0.2500 0.7506
0.4051 0.2500 0.9819
0.4284 0.0017 0.1856
0.4284 0.4983 0.1856
0.4378 0.7500 0.3926
0.5622 0.2500 0.6074
0.5716 0.5017 0.8144
0.5716 0.9983 0.8144
0.5949 0.7500 0.0181
0.6812 0.7500 0.2494
0.8188 0.2500 0.7494
0.9051 0.2500 0.5181
0.9284 0.0017 0.3144
0.9284 0.4983 0.3144
0.9378 0.7500 0.1074

# 7
LiPm3Ni8 PBE-GGA relaxed; formation energy from the elements = -0.32 eV per atom; uncorrected energy = -5.520 eV/atom; symmetry = R3m; size of the total moment = 0.00 μB/cell
1.0
2.5228 1.4565 8.2894
-2.5228 1.4565 8.2894
0.0000 -2.9131 8.2894
Li Pm Ni
1 3 8
direct
0.0000 0.0000 0.0000
0.1211 0.1211 0.1211
0.5078 0.5078 0.5078
0.6369 0.6369 0.6369
0.0688 0.0688 0.5696
0.0688 0.5696 0.0688
0.0705 0.5651 0.5651
0.3185 0.3185 0.3185
0.5651 0.0705 0.5651
0.5651 0.5651 0.0705
0.5696 0.0688 0.0688
0.8177 0.8177 0.8177

# 8
LiPm2Ni PBE-GGA relaxed; formation energy from the elements = -0.09 eV per atom; uncorrected energy = -4.390 eV/atom; symmetry = P4/mmm; size of the total moment = 0.00 μB/cell; relative energy among the computed polymorphs = 0.0 kJ/mol of atoms
1.0
3.5194 0.0000 0.0000
0.0000 3.5194 0.0000
0.0000 0.0000 7.9442
Li Pm Ni
1 2 1
direct
0.0000 0.0000 0.0000
0.5000 0.5000 0.2941
0.5000 0.5000 0.7059
0.0000 0.0000 0.5000